# Pm2Tl3CrS6 PBE relaxed
data_Pm2Tl3CrS6
_space_group_name_H-M_alt 'C 1 2/m 1'
_space_group_IT_number 12
_cell_length_a 6.889
_cell_length_b 11.898
_cell_length_c 7.804
_cell_angle_alpha 90.00
_cell_angle_beta 106.97
_cell_angle_gamma 90.00
loop_
_space_group_symop_operation_xyz
'x,y,z'
'-x,-y,-z'
'-x,y,-z'
'x,-y,z'
'x+1/2,y+1/2,z'
'-x+1/2,-y+1/2,-z'
'-x+1/2,y+1/2,-z'
'x+1/2,-y+1/2,z'
loop_
_atom_site_label
_atom_site_type_symbol
_atom_site_fract_x
_atom_site_fract_y
_atom_site_fract_z
_atom_site_occupancy
Pm1 Pm 0.000 0.166 0.000 1
Tl1 Tl 0.000 0.000 0.500 1
Tl2 Tl 0.000 0.326 0.500 1
Cr1 Cr 0.000 0.500 0.000 1
S1 S 0.213 0.351 0.190 1
S2 S 0.233 0.500 0.799 1
# density: 6.23 g cm⁻³
# total energy: -5.355 eV/atom


# Pm2CrSb PBE relaxed
data_Pm2CrSb
_space_group_name_H-M_alt 'P 4/m m m'
_space_group_IT_number 123
_space_group_name_Hall '-P 4 2'
_cell_length_a 5.127
_cell_length_b 5.127
_cell_length_c 4.108
_cell_angle_alpha 90.00
_cell_angle_beta 90.00
_cell_angle_gamma 90.00
loop_
_atom_site_label
_atom_site_type_symbol
_atom_site_fract_x
_atom_site_fract_y
_atom_site_fract_z
_atom_site_occupancy
Pm1 Pm 0.000 0.500 0.000 1
Cr1 Cr 0.000 0.000 0.500 1
Sb1 Sb 0.500 0.500 0.500 1
# density: 7.13 g cm⁻³
# total energy: -6.046 eV/atom


# Pm3CrSb PBE relaxed
data_Pm3CrSb
_space_group_name_H-M_alt 'P m -3 m'
_space_group_IT_number 221
_space_group_name_Hall '-P 4 2 3'
_cell_length_a 5.194
_cell_length_b 5.194
_cell_length_c 5.194
_cell_angle_alpha 90.00
_cell_angle_beta 90.00
_cell_angle_gamma 90.00
loop_
_atom_site_label
_atom_site_type_symbol
_atom_site_fract_x
_atom_site_fract_y
_atom_site_fract_z
_atom_site_occupancy
Pm1 Pm 0.000 0.000 0.500 1
Cr1 Cr 0.000 0.000 0.000 1
Sb1 Sb 0.500 0.500 0.500 1
# density: 7.21 g cm⁻³
# total energy: -5.591 eV/atom


# PmCrSb3 PBE relaxed
data_PmCrSb3
_space_group_name_H-M_alt 'P b c m'
_space_group_IT_number 57
_cell_length_a 12.990
_cell_length_b 6.260
_cell_length_c 6.109
_cell_angle_alpha 90.00
_cell_angle_beta 90.00
_cell_angle_gamma 90.00
loop_
_space_group_symop_operation_xyz
'x,y,z'
'-x,-y,-z'
'-x,-y,z+1/2'
'x,y,-z+1/2'
'x,-y+1/2,-z'
'-x,y+1/2,z'
'-x,y+1/2,-z+1/2'
'x,-y+1/2,z+1/2'
loop_
_atom_site_label
_atom_site_type_symbol
_atom_site_fract_x
_atom_site_fract_y
_atom_site_fract_z
_atom_site_occupancy
Pm1 Pm 0.190 0.005 0.250 1
Cr1 Cr 0.405 0.750 0.000 1
Sb1 Sb 0.002 0.750 0.000 1
Sb2 Sb 0.278 0.000 0.750 1
Sb3 Sb 0.437 0.101 0.250 1
# density: 7.52 g cm⁻³
# total energy: -5.811 eV/atom


# PmSc2Cr PBE relaxed
data_PmSc2Cr
_space_group_name_H-M_alt 'P 4/m m m'
_space_group_IT_number 123
_space_group_name_Hall '-P 4 2'
_cell_length_a 3.321
_cell_length_b 3.321
_cell_length_c 8.512
_cell_angle_alpha 90.00
_cell_angle_beta 90.00
_cell_angle_gamma 90.00
loop_
_atom_site_label
_atom_site_type_symbol
_atom_site_fract_x
_atom_site_fract_y
_atom_site_fract_z
_atom_site_occupancy
Pm1 Pm 0.000 0.000 0.000 1
Sc1 Sc 0.500 0.500 0.311 1
Cr1 Cr 0.000 0.000 0.500 1
# E_form: 0.178 eV/atom
# density: 5.07 g cm⁻³


# Pm3CrSe6 PBE relaxed
data_Pm3CrSe6
_space_group_name_H-M_alt 'P 1 21/c 1'
_space_group_IT_number 14
_cell_length_a 6.813
_cell_length_b 7.498
_cell_length_c 11.925
_cell_angle_alpha 90.00
_cell_angle_beta 121.93
_cell_angle_gamma 90.00
loop_
_space_group_symop_operation_xyz
'x,y,z'
'-x,-y,-z'
'-x,y+1/2,-z+1/2'
'x,-y+1/2,z+1/2'
loop_
_atom_site_label
_atom_site_type_symbol
_atom_site_fract_x
_atom_site_fract_y
_atom_site_fract_z
_atom_site_occupancy
Pm1 Pm 0.000 0.000 0.000 1
Pm2 Pm 0.304 0.107 0.759 1
Cr1 Cr 0.500 0.000 0.500 1
Se1 Se 0.127 0.041 0.271 1
Se2 Se 0.258 0.669 0.068 1
Se3 Se 0.411 0.198 0.067 1
# density: 6.17 g cm⁻³
# total energy: -5.970 eV/atom


# Pm3Cr5Se12 PBE relaxed
data_Pm3Cr5Se12
_space_group_name_H-M_alt 'I a -3 d'
_space_group_IT_number 230
_space_group_name_Hall '-I 4bd 2c 3'
_cell_length_a 15.809
_cell_length_b 15.809
_cell_length_c 15.809
_cell_angle_alpha 90.00
_cell_angle_beta 90.00
_cell_angle_gamma 90.00
loop_
_atom_site_label
_atom_site_type_symbol
_atom_site_fract_x
_atom_site_fract_y
_atom_site_fract_z
_atom_site_occupancy
Pm1 Pm 0.000 0.250 0.125 1
Cr1 Cr 0.000 0.000 0.000 1
Cr2 Cr 0.000 0.250 0.375 1
Se1 Se 0.029 0.058 0.648 1
# density: 5.52 g cm⁻³
# total energy: -6.108 eV/atom


# Pm3Tl3CrSe8 PBE relaxed
data_Pm3Tl3CrSe8
_space_group_name_H-M_alt 'R -3 m'
_space_group_IT_number 166
_space_group_name_Hall '-R 3 2"'
_cell_length_a 8.3241
_cell_length_b 8.3241
_cell_length_c 23.0679
_cell_angle_alpha 90.00
_cell_angle_beta 90.00
_cell_angle_gamma 120.00
loop_
_atom_site_label
_atom_site_type_symbol
_atom_site_fract_x
_atom_site_fract_y
_atom_site_fract_z
_atom_site_occupancy
Pm1 Pm 0.0000 0.5000 0.0000 1
Tl1 Tl 0.0000 0.5000 0.5000 1
Cr1 Cr 0.0000 0.0000 0.0000 1
Se1 Se 0.0000 0.0000 0.2614 1
Se2 Se 0.0355 0.5177 0.7317 1
# density: 6.23 g cm⁻³
# total energy: -5.046 eV/atom


Q: Which of these has the lowest density?
A: PmSc2Cr


Q: The highest density belongs to which entry?
A: PmCrSb3


Q: density of number 8 (Pm3Tl3CrSe8)?
A: 6.23 g cm⁻³


Q: Which formula does entry 3 have?
A: Pm3CrSb